## Rb2HfCF (PBE)

Data for crystalline Rb2HfCF at its relaxed geometry.

a b c (Å): 6.7451 3.8217 6.7451
angles (deg): 90.00 90.00 90.00
Fractional positions:
C  0.0000  0.0000  0.0000
Hf  0.5000  0.5000  0.5000
Rb  0.0000  0.0000  0.5000
Rb  0.5000  0.0000  0.0000
F  0.0000  0.5000  0.0000

Results
SG ... P4/mmm (123)
Raw formation energy ... 1377 meV per atom